This record from Alexandria via LeMat-Bulk describes crystalline NbPd5Pt4 at its relaxed geometry. The functional is PBE-GGA.

For the energy of formation from the pure elements, the calculation gives -0.074 eV per atom. The value obtained for the total magnetic moment is 0.000 μB/cell.

Cell and atoms, written as CIF:
```
data_NbPd5Pt4
_symmetry_space_group_name_H-M 'C 1 2/m 1'
_symmetry_Int_Tables_number 12
_cell_length_a 13.891
_cell_length_b 4.004
_cell_length_c 7.067
_cell_angle_alpha 90.00
_cell_angle_beta 120.21
_cell_angle_gamma 90.00
loop_
_symmetry_equiv_pos_as_xyz
'x,y,z'
'-x,-y,-z'
'-x,y,-z'
'x,-y,z'
'x+1/2,y+1/2,z'
'-x+1/2,-y+1/2,-z'
'-x+1/2,y+1/2,-z'
'x+1/2,-y+1/2,z'
loop_
_atom_site_label
_atom_site_type_symbol
_atom_site_fract_x
_atom_site_fract_y
_atom_site_fract_z
_atom_site_occupancy
Nb1 Nb 0.000 0.000 0.000 1
Pd1 Pd 0.000 0.000 0.500 1
Pd2 Pd 0.167 0.500 0.715 1
Pd3 Pd 0.171 0.500 0.111 1
Pt1 Pt 0.023 0.500 0.269 1
Pt2 Pt 0.177 0.000 0.417 1
```